No. 1
Compound: Rb2NaBr
Source: Alexandria
Functional: GGA-PBE
Structure: optimized geometry Values from VASP.

## Properties
**Uncorrected formation energy**: -3.1 eV per formula unit
**SG**: R3m, No. 160
**Energy above the most stable polymorph in this dataset**: 0.0009 eV/atom

Geometry as Quantum ESPRESSO input:
```
&SYSTEM
  ibrav = 0, nat = 12, ntyp = 3
/
ATOMIC_SPECIES
Rb 85.47 Rb.upf
Na 22.99 Na.upf
Br 79.90 Br.upf
ATOMIC_POSITIONS crystal
Rb 0.000 0.000 0.000
Rb 0.000 0.000 0.206
Rb 0.333 0.667 0.667
Rb 0.333 0.667 0.872
Rb 0.667 0.333 0.333
Rb 0.667 0.333 0.539
Na 0.000 0.000 0.769
Na 0.333 0.667 0.436
Na 0.667 0.333 0.103
Br 0.000 0.000 0.603
Br 0.333 0.667 0.270
Br 0.667 0.333 0.936
CELL_PARAMETERS angstrom
4.792 0.000 0.000
-2.396 4.150 0.000
0.000 0.000 33.298
```

***

No. 2
Compound: Pr6Sm3Tl
Source: Alexandria
Functional: GGA-PBE
Structure: optimized geometry Values from VASP.

## Properties
**SG**: Cmc2_1, No. 36
**Energy of formation**: 0.017 eV/atom

Geometry as Quantum ESPRESSO input:
```
&SYSTEM
  ibrav = 0, nat = 20, ntyp = 3
/
ATOMIC_SPECIES
Pr 140.91 Pr.upf
Sm 150.36 Sm.upf
Tl 204.38 Tl.upf
ATOMIC_POSITIONS crystal
Pr 0.019 0.981 0.500
Pr 0.097 0.531 0.022
Pr 0.260 0.373 0.238
Pr 0.289 0.711 0.468
Pr 0.373 0.260 0.738
Pr 0.469 0.903 0.022
Pr 0.531 0.097 0.522
Pr 0.627 0.740 0.238
Pr 0.711 0.289 0.968
Pr 0.740 0.627 0.738
Pr 0.903 0.469 0.522
Pr 0.981 0.019 0.000
Sm 0.041 0.297 0.664
Sm 0.297 0.041 0.164
Sm 0.414 0.586 0.765
Sm 0.586 0.414 0.265
Sm 0.703 0.959 0.664
Sm 0.959 0.703 0.164
Tl 0.156 0.844 0.732
Tl 0.844 0.156 0.232
CELL_PARAMETERS angstrom
4.997 -10.518 0.000
4.997 10.518 0.000
0.000 0.000 6.515
```

***

No. 3
Compound: KLiPb2
Source: Alexandria
Functional: GGA-PBE
Structure: optimized geometry Values from VASP.

## Properties
**SG**: R3m, No. 160
**Energy above the most stable polymorph in this dataset**: 0.0227 eV/atom
**Energy of formation**: -0.201 eV/atom

Geometry as Quantum ESPRESSO input:
```
&SYSTEM
  ibrav = 0, nat = 12, ntyp = 3
/
ATOMIC_SPECIES
K 39.10 K.upf
Li 6.94 Li.upf
Pb 207.20 Pb.upf
ATOMIC_POSITIONS crystal
K 0.000 0.000 0.000
K 0.333 0.667 0.667
K 0.667 0.333 0.333
Li 0.000 0.000 0.186
Li 0.333 0.667 0.853
Li 0.667 0.333 0.520
Pb 0.000 0.000 0.541
Pb 0.000 0.000 0.791
Pb 0.333 0.667 0.207
Pb 0.333 0.667 0.457
Pb 0.667 0.333 0.124
Pb 0.667 0.333 0.874
CELL_PARAMETERS angstrom
4.882 0.000 0.000
-2.441 4.228 0.000
0.000 0.000 19.629
```

***

No. 4
Compound: TlGa2AsS6
Source: Alexandria
Functional: GGA-PBE
Structure: optimized geometry Values from VASP.

## Properties
**Uncorrected formation energy**: -3.0 eV per formula unit
**SG**: C2/c, No. 15

Geometry as Quantum ESPRESSO input:
```
&SYSTEM
  ibrav = 0, nat = 20, ntyp = 4
/
ATOMIC_SPECIES
Tl 204.38 Tl.upf
Ga 69.72 Ga.upf
As 74.92 As.upf
S 32.06 S.upf
ATOMIC_POSITIONS crystal
Tl 0.126 0.874 0.750
Tl 0.874 0.126 0.250
Ga 0.228 0.392 0.772
Ga 0.392 0.228 0.272
Ga 0.608 0.772 0.728
Ga 0.772 0.608 0.228
As 0.245 0.755 0.250
As 0.755 0.245 0.750
S 0.015 0.201 0.651
S 0.078 0.628 0.904
S 0.201 0.015 0.151
S 0.289 0.440 0.484
S 0.372 0.922 0.596
S 0.440 0.289 0.984
S 0.560 0.711 0.016
S 0.628 0.078 0.404
S 0.711 0.560 0.516
S 0.799 0.985 0.849
S 0.922 0.372 0.096
S 0.985 0.799 0.349
CELL_PARAMETERS angstrom
6.221 -5.485 0.000
6.221 5.485 0.000
-1.803 0.000 6.702
```

***

No. 5
Compound: RbCaInF6
Source: Alexandria
Functional: GGA-PBE
Structure: optimized geometry Values from VASP.

## Properties
**Uncorrected formation energy**: -27.5 eV per formula unit
**SG**: Imma, No. 74

Geometry as Quantum ESPRESSO input:
```
&SYSTEM
  ibrav = 0, nat = 18, ntyp = 4
/
ATOMIC_SPECIES
Rb 85.47 Rb.upf
Ca 40.08 Ca.upf
In 114.82 In.upf
F 19.00 F.upf
ATOMIC_POSITIONS crystal
Rb 0.333 0.083 0.250
Rb 0.667 0.917 0.750
Ca 0.000 0.000 0.500
Ca 0.000 0.500 0.000
In 0.000 0.500 0.500
In 0.500 0.500 0.000
F 0.076 0.430 0.264
F 0.076 0.812 0.646
F 0.089 0.839 0.250
F 0.307 0.557 0.750
F 0.334 0.188 0.764
F 0.334 0.570 0.146
F 0.666 0.430 0.854
F 0.666 0.812 0.236
F 0.693 0.443 0.250
F 0.911 0.161 0.750
F 0.924 0.188 0.354
F 0.924 0.570 0.736
CELL_PARAMETERS angstrom
-3.972 4.059 5.742
3.972 -4.059 5.742
3.972 4.059 -5.742
```

***

No. 6
Compound: Ca3Ac4Nd2
Source: Alexandria
Functional: GGA-PBE
Structure: optimized geometry Values from VASP.

## Properties
**SG**: C2/m, No. 12
**Energy above the most stable polymorph in this dataset**: 0.0049 eV/atom
**Energy of formation**: 0.077 eV/atom

Geometry as Quantum ESPRESSO input:
```
&SYSTEM
  ibrav = 0, nat = 9, ntyp = 3
/
ATOMIC_SPECIES
Ca 40.08 Ca.upf
Ac 227.00 Ac.upf
Nd 144.24 Nd.upf
ATOMIC_POSITIONS crystal
Ca 0.000 0.000 0.000
Ca 0.131 0.131 0.635
Ca 0.869 0.869 0.365
Ac 0.198 0.198 0.288
Ac 0.470 0.470 0.676
Ac 0.530 0.530 0.324
Ac 0.802 0.802 0.712
Nd 0.333 0.333 0.044
Nd 0.667 0.667 0.956
CELL_PARAMETERS angstrom
9.542 -2.033 0.000
9.542 2.033 0.000
-2.327 0.000 9.680
```

***

No. 7
Compound: NbTe2Br
Source: Alexandria
Functional: GGA-PBE
Structure: optimized geometry Values from VASP.

## Properties
**Uncorrected formation energy**: -1.2 eV per formula unit
**SG**: P-1, No. 2
**Energy above the most stable polymorph in this dataset**: 0.0000 eV/atom

Geometry as Quantum ESPRESSO input:
```
&SYSTEM
  ibrav = 0, nat = 8, ntyp = 3
/
ATOMIC_SPECIES
Nb 92.91 Nb.upf
Te 127.60 Te.upf
Br 79.90 Br.upf
ATOMIC_POSITIONS crystal
Nb 0.244 0.249 0.000
Nb 0.756 0.751 0.000
Te 0.252 0.856 0.187
Te 0.254 0.642 0.813
Te 0.746 0.358 0.187
Te 0.748 0.144 0.813
Br 0.000 0.000 0.500
Br 0.000 0.500 0.500
CELL_PARAMETERS angstrom
3.770 0.000 0.000
0.330 5.887 0.000
0.008 1.572 10.284
```

***

No. 8
Compound: ZnAg2O4
Source: Alexandria
Functional: GGA-PBE
Structure: optimized geometry Values from VASP.

## Properties
**Uncorrected formation energy**: -1.6 eV per formula unit
**SG**: P-1, No. 2
**Energy above the most stable polymorph in this dataset**: 0.0800 eV/atom

Geometry as Quantum ESPRESSO input:
```
&SYSTEM
  ibrav = 0, nat = 14, ntyp = 3
/
ATOMIC_SPECIES
Zn 65.41 Zn.upf
Ag 107.87 Ag.upf
O 16.00 O.upf
ATOMIC_POSITIONS crystal
Zn 0.197 0.192 0.309
Zn 0.803 0.808 0.691
Ag 0.168 0.459 0.679
Ag 0.427 0.184 0.967
Ag 0.573 0.816 0.033
Ag 0.832 0.541 0.321
O 0.072 0.237 0.769
O 0.199 0.679 0.556
O 0.338 0.384 0.145
O 0.386 0.932 0.825
O 0.614 0.068 0.175
O 0.662 0.616 0.855
O 0.801 0.321 0.444
O 0.928 0.763 0.231
CELL_PARAMETERS angstrom
3.266 0.000 0.000
-1.593 7.692 0.000
-1.078 -1.513 7.843
```

***

No. 9
Compound: RbY3Sn
Source: Alexandria
Functional: GGA-PBE
Structure: optimized geometry Values from VASP.

## Properties
**SG**: Pm-3m, No. 221
**Energy above the most stable polymorph in this dataset**: 0.8936 eV/atom
**Energy of formation**: 1.187 eV/atom

Geometry as Quantum ESPRESSO input:
```
&SYSTEM
  ibrav = 0, nat = 5, ntyp = 3
/
ATOMIC_SPECIES
Rb 85.47 Rb.upf
Y 88.91 Y.upf
Sn 118.71 Sn.upf
ATOMIC_POSITIONS crystal
Rb 0.000 0.000 0.000
Y 0.000 0.000 0.500
Y 0.000 0.500 0.000
Y 0.500 0.000 0.000
Sn 0.500 0.500 0.500
CELL_PARAMETERS angstrom
5.451 0.000 0.000
0.000 5.451 0.000
0.000 0.000 5.451
```

***

No. 10
Compound: BaTbAg2Te4
Source: Alexandria
Functional: GGA-PBE
Structure: optimized geometry Values from VASP.

## Properties
**Uncorrected formation energy**: -6.3 eV per formula unit
**SG**: I222, No. 23

Geometry as Quantum ESPRESSO input:
```
&SYSTEM
  ibrav = 0, nat = 16, ntyp = 4
/
ATOMIC_SPECIES
Ba 137.33 Ba.upf
Tb 158.93 Tb.upf
Ag 107.87 Ag.upf
Te 127.60 Te.upf
ATOMIC_POSITIONS crystal
Ba 0.000 0.000 0.000
Ba 0.500 0.500 0.500
Tb 0.000 0.000 0.500
Tb 0.500 0.500 0.000
Ag 0.000 0.500 0.171
Ag 0.000 0.500 0.829
Ag 0.500 0.000 0.329
Ag 0.500 0.000 0.671
Te 0.218 0.219 0.304
Te 0.218 0.781 0.696
Te 0.282 0.281 0.804
Te 0.282 0.719 0.196
Te 0.718 0.281 0.196
Te 0.718 0.719 0.804
Te 0.782 0.219 0.696
Te 0.782 0.781 0.304
CELL_PARAMETERS angstrom
7.531 0.000 0.000
0.000 8.083 0.000
0.000 0.000 8.984
```

***

No. 11
Compound: Nd2SeS
Source: Alexandria
Functional: GGA-PBE
Structure: optimized geometry Values from VASP.

## Properties
**Uncorrected formation energy**: -7.7 eV per formula unit
**SG**: R3m, No. 160
**Energy above the most stable polymorph in this dataset**: 0.0150 eV/atom

Geometry as Quantum ESPRESSO input:
```
&SYSTEM
  ibrav = 0, nat = 12, ntyp = 3
/
ATOMIC_SPECIES
Nd 144.24 Nd.upf
Se 78.96 Se.upf
S 32.06 S.upf
ATOMIC_POSITIONS crystal
Nd 0.000 0.000 0.000
Nd 0.000 0.000 0.184
Nd 0.333 0.667 0.667
Nd 0.333 0.667 0.851
Nd 0.667 0.333 0.333
Nd 0.667 0.333 0.517
Se 0.000 0.000 0.425
Se 0.333 0.667 0.091
Se 0.667 0.333 0.758
S 0.000 0.000 0.593
S 0.333 0.667 0.260
S 0.667 0.333 0.927
CELL_PARAMETERS angstrom
4.063 0.000 0.000
-2.031 3.518 0.000
0.000 0.000 21.433
```